An optimized crystal structure of ZnPtNO2. Source: Alexandria, functional PBE.

```
data_ZnPtNO2
_chemical_formula_sum 'Zn1 Pt1 N1 O2'
_cell_length_a 3.7933
_cell_length_b 3.7933
_cell_length_c 3.9884
_cell_angle_alpha 90.00
_cell_angle_beta 90.00
_cell_angle_gamma 90.00
_space_group_name_H-M_alt 'P 4/m m m'
_space_group_IT_number 123
_space_group_name_Hall '-P 4 2'
loop_
_atom_site_label
_atom_site_type_symbol
_atom_site_fract_x
_atom_site_fract_y
_atom_site_fract_z
Zn1 Zn 0.0000 0.0000 0.0000
Pt1 Pt 0.5000 0.5000 0.5000
N1 N 0.0000 0.0000 0.5000
O1 O 0.0000 0.5000 0.0000
```

Uncorrected energy ... -0.1489 Ha/atom
Magnetization ... 2.33 μB/f.u.
Formation energy without anion corrections ... 5.30 eV/f.u.